(1)
## MnSbO4 (PBEsol)

Data for crystalline MnSbO4 at its relaxed geometry.

Density of states at the Fermi level = 1.3 states/eV/f.u.
Formation energy (no corrections) = -1435.5 meV/atom

Unit cell a=3.927 b=3.927 c=5.536 alpha=110.78 beta=110.78 gamma=90.00
Each line ends with the local moment (μB).
Fractional positions:
Sb 0.250 0.750 0.500  0.04
O 0.457 0.957 0.914  0.04
O 0.043 0.543 0.086  0.04
O 0.208 0.208 0.416  0.03
Mn 0.000 0.000 0.000  3.65
O 0.792 0.792 0.584  0.03

---

(2)
## MnSb2O6 (PBEsol)

Data for crystalline MnSb2O6 at its relaxed geometry.

Density of states at the Fermi level = 1.6 states/eV/f.u.
Formation energy (no corrections) = -1443.4 meV/atom

Unit cell a=4.704 b=4.704 c=9.534 alpha=90.00 beta=90.00 gamma=90.00
Each line ends with the local moment (μB).
Fractional positions:
Mn 0.000 0.000 0.000  4.17
Sb 0.000 0.000 0.667  0.06
Mn 0.500 0.500 0.500  4.17
O 0.192 0.192 0.500  0.03
Sb 0.000 0.000 0.333  0.06
O 0.303 0.697 0.671  0.05
Sb 0.500 0.500 0.833  0.06
O 0.697 0.303 0.671  0.05
O 0.692 0.308 0.000  0.03
O 0.697 0.303 0.329  0.05
O 0.197 0.197 0.171  0.05
O 0.303 0.697 0.329  0.05
Sb 0.500 0.500 0.167  0.06
O 0.803 0.803 0.171  0.05
O 0.803 0.803 0.829  0.05
O 0.308 0.692 0.000  0.03
O 0.808 0.808 0.500  0.03
O 0.197 0.197 0.829  0.05

---

(3)
## MnSb2O4 (PBEsol)

Data for crystalline MnSb2O4 at its relaxed geometry.

Density of states at the Fermi level = 1.7 states/eV/f.u.
Formation energy (no corrections) = -1296.0 meV/atom

Unit cell a=6.034 b=8.551 c=8.551 alpha=90.00 beta=90.00 gamma=90.00
Each line ends with the local moment (μB).
Fractional positions:
O 0.250 0.176 0.324  0.04
Mn 0.750 0.000 0.500  4.36
Sb 0.500 0.834 0.176  0.03
O 0.000 0.406 0.148  0.07
O 0.000 0.594 0.852  0.07
O 0.250 0.324 0.824  0.04
Sb 0.500 0.334 0.324  0.03
O 0.250 0.824 0.676  0.04
Sb 0.000 0.176 0.166  0.03
Sb 0.000 0.824 0.834  0.03
Mn 0.750 0.500 0.000  4.36
O 0.000 0.094 0.648  0.07
O 0.500 0.148 0.594  0.07
O 0.500 0.852 0.406  0.07
O 0.000 0.906 0.352  0.07
O 0.500 0.352 0.094  0.07
O 0.750 0.324 0.824  0.04
Sb 0.000 0.676 0.334  0.03
O 0.750 0.824 0.676  0.04
O 0.250 0.676 0.176  0.04
O 0.750 0.676 0.176  0.04
Sb 0.500 0.666 0.676  0.03
Mn 0.250 0.500 0.000  4.36
O 0.750 0.176 0.324  0.04
Sb 0.000 0.324 0.666  0.03
O 0.500 0.648 0.906  0.07
Sb 0.500 0.166 0.824  0.03
Mn 0.250 0.000 0.500  4.36

---

(4)
## MnSb4O12 (PBEsol)

Data for crystalline MnSb4O12 at its relaxed geometry.

Formation energy (no corrections) = -1323.4 meV/atom

Unit cell a=4.997 b=5.442 c=7.448 alpha=95.91 beta=90.74 gamma=90.86
Each line ends with the local moment (μB).
Fractional positions:
O 0.840 0.639 0.475  -0.01
O 0.648 0.132 0.445  0.01
Sb 0.002 0.992 0.029  0.01
Sb 0.990 0.993 0.499  0.01
O 0.286 0.763 0.596  0.00
Sb 0.509 0.467 0.017  0.01
O 0.347 0.490 0.258  0.00
O 0.667 0.462 0.753  0.06
O 0.685 0.791 0.081  0.00
O 0.170 0.309 0.603  0.03
O 0.827 0.302 0.090  0.00
Sb 0.495 0.460 0.492  0.01
O 0.882 0.925 0.756  0.00
O 0.171 0.650 0.931  0.07
O 0.161 0.984 0.271  0.00
O 0.318 0.156 0.937  0.00
Mn 0.001 0.603 0.709  2.61